A geometry-optimized Mn3Tc structure, computed with PBE-GGA.

extended XYZ file:
```
4
Lattice="0.000 2.899 2.899 2.899 0.000 2.899 2.899 2.899 0.000" Properties=species:S:1:pos:R:3 pbc="T T T"
Mn 0.000 0.000 0.000
Mn 1.450 1.450 1.450
Mn 4.349 4.349 4.349
Tc 2.899 2.899 2.899
```

Output
calculated formation energy	0.129	eV per atom
Fermi-level density of states	1.22	states/eV per atom